No. 1
First-principles (meta-GGA SCAN) data for a crystal of Be2ZnCl relaxed with PBEsol, as listed in Alexandria. Values from VASP.

Values from the calculation:
Relative energy among the computed polymorphs (meV per atom): 0
Formation energy (no corrections) (eV/atom): 0.337

Geometry as Quantum ESPRESSO input:
```
&SYSTEM
  ibrav = 0, nat = 4, ntyp = 3
/
ATOMIC_SPECIES
Zn 65.41 Zn.upf
Be 9.01 Be.upf
Cl 35.45 Cl.upf
CELL_PARAMETERS angstrom
-0.187 0.331 2.652
-4.575 -2.291 1.316
0.099 -4.900 1.972
ATOMIC_POSITIONS crystal
Zn 0.297 0.203 0.203
Be 0.746 0.754 0.754
Be 0.036 0.964 0.964
Cl 0.420 0.580 0.580
```



No. 2
First-principles (meta-GGA SCAN) data for a crystal of LiTaNi4 relaxed with PBEsol, as listed in Alexandria. Values from VASP.

Values from the calculation:
ΔH_f (0 K) (eV/f.u.): -1.028

Geometry as Quantum ESPRESSO input:
```
&SYSTEM
  ibrav = 0, nat = 6, ntyp = 3
/
ATOMIC_SPECIES
Ni 58.69 Ni.upf
Ta 180.95 Ta.upf
Li 6.94 Li.upf
CELL_PARAMETERS angstrom
4.644 0.000 0.000
2.322 4.021 0.000
2.322 1.340 3.791
ATOMIC_POSITIONS crystal
Ni 0.375 0.375 0.375
Ni 0.375 0.375 0.876
Ni 0.876 0.375 0.375
Ta 0.750 0.750 0.750
Li 0.000 0.000 0.000
Ni 0.375 0.876 0.375
```